The following is a PBE with a Hubbard U calculation of ZrCoO after structural relaxation, from Alexandria via LeMat-Bulk.

Summary:
Its density of states at the Fermi level is 0.29 states/eV/atom. For the energy, the calculation gives -7.4874 eV/atom. The energy relative to the lowest polymorph listed for this composition comes out at 159 meV/atom.

abc: 10.274 3.193 5.506
angles: 90.00 109.94 90.00
Space group Cm (No. 8)
One atom of each set of equivalent atoms:
Zr 0.000 0.000 0.000 [2 per cell]
Zr 0.178 0.000 0.627 [2 per cell]
Co 0.229 0.500 0.285 [2 per cell]
Co 0.432 0.000 0.386 [2 per cell]
O 0.107 0.500 0.860 [2 per cell]
O 0.357 0.000 0.949 [2 per cell]